Entry 1:
First-principles (GGA-PBE) data for an optimized crystal structure of TmMg6Cd23, as listed in the Alexandria database.

Structure (extended XYZ):
```
30
Lattice="8.580 0.000 4.954 2.860 8.089 4.954 0.000 0.000 9.907" Properties=species:S:1:pos:R:3 pbc="T T T"
Cd 1.511 1.068 7.291
Cd 1.430 4.045 7.431
Cd 5.558 1.068 4.954
Cd 0.000 0.000 0.000
Cd 4.224 2.987 12.498
Cd 9.929 7.021 17.198
Cd 0.000 0.000 4.954
Cd 2.860 4.884 4.954
Cd 5.720 4.045 4.954
Cd 5.720 7.218 9.907
Cd 8.580 3.205 14.861
Mg 7.135 2.044 12.358
Cd 9.929 7.021 12.524
Tm 5.720 4.045 9.907
Cd 8.712 2.987 9.907
Mg 2.891 2.044 9.907
Cd 1.511 1.068 2.617
Cd 4.224 2.987 7.316
Cd 5.882 7.021 14.861
Cd 4.290 0.000 7.431
Cd 2.728 5.102 9.907
Cd 7.216 5.102 7.316
Cd 5.720 0.871 9.907
Cd 1.430 4.045 2.477
Mg 4.305 6.045 7.457
Mg 7.135 2.044 7.457
Mg 8.549 6.045 9.907
Cd 7.216 5.102 12.498
Mg 4.305 6.045 12.358
Cd 4.290 0.000 2.477
```

Output
- energy relative to the elements (eV per atom) = -0.0317
- SG = Fm-3m

Entry 2:
First-principles (GGA-PBE) data for an optimized crystal structure of GaCu2IrI, as listed in the Alexandria database.

Structure (extended XYZ):
```
5
Lattice="4.885 0.000 0.000 0.000 4.976 0.000 0.000 0.000 4.885" Properties=species:S:1:pos:R:3 pbc="T T T"
I 0.000 0.000 0.000
Cu 0.000 0.000 2.443
Ir 0.000 2.488 0.000
Cu 2.443 0.000 0.000
Ga 2.443 2.488 2.443
```

Output
- SG = P4/mmm
- ΔE_f (raw) (eV/f.u.) = 6.25

Entry 3:
First-principles (GGA-PBE) data for an optimized crystal structure of Er7SeI12, as listed in the Alexandria database.

Structure (extended XYZ):
```
20
Lattice="9.605 -0.163 -0.245 -2.827 9.180 -0.245 -2.827 -3.762 8.378" Properties=species:S:1:pos:R:3 pbc="T T T"
I -1.837 5.454 1.695
I 3.955 7.169 2.203
Er -0.816 2.422 0.803
Se 0.000 0.000 0.000
I 5.749 1.659 0.424
I 1.974 1.592 6.815
Er 0.043 -0.837 2.544
I -0.953 1.781 3.794
I 5.787 -0.198 6.194
Er 1.397 4.472 7.681
I 2.969 -0.133 3.105
Er 1.975 2.628 3.944
I 1.976 3.663 1.073
Er 3.907 6.092 5.344
I 4.903 3.475 4.094
I -0.005 -1.914 5.686
I 0.981 5.388 4.784
I -1.799 3.596 7.464
Er 4.766 2.834 7.085
Er 2.553 0.783 0.208
```

Output
- SG = R-3
- ΔE_f (raw) (eV/f.u.) = -24.86

Entry 4:
First-principles (GGA-PBE) data for an optimized crystal structure of Zr2AsIr2, as listed in the Alexandria database.

Structure (extended XYZ):
```
10
Lattice="7.737 0.000 0.000 0.000 7.737 0.000 0.000 0.000 3.147" Properties=species:S:1:pos:R:3 pbc="T T T"
Ir 4.887 1.019 0.000
Zr 1.259 5.127 1.573
Ir 1.019 2.850 0.000
Zr 5.127 6.478 1.573
As 3.868 3.868 0.000
Zr 2.610 1.259 1.573
As 0.000 0.000 0.000
Ir 2.850 6.718 0.000
Zr 6.478 2.610 1.573
Ir 6.718 4.887 0.000
```

Output
- energy relative to the elements (eV per atom) = -0.6216
- SG = P4/mbm

Entry 5:
First-principles (GGA-PBE) data for an optimized crystal structure of CsPrHg2F8, as listed in the Alexandria database.

Structure (extended XYZ):
```
12
Lattice="5.831 0.000 0.000 -2.916 5.050 0.000 0.000 0.000 9.384" Properties=species:S:1:pos:R:3 pbc="T T T"
F -0.745 1.605 6.180
F 1.898 3.602 6.180
Hg 2.915 1.683 2.034
F 1.018 1.447 3.204
F 3.660 3.445 3.204
F 2.915 1.683 9.311
Pr 0.000 0.000 4.692
Cs 0.000 0.000 0.000
F 0.000 3.367 0.074
F 4.069 0.158 3.204
Hg 0.000 3.367 7.350
F -1.153 4.892 6.180
```

Output
- SG = P-3
- ΔE_f (raw) (eV/f.u.) = -28.93

Entry 6:
First-principles (GGA-PBE) data for an optimized crystal structure of NaPdCl, as listed in the Alexandria database.

Structure (extended XYZ):
```
6
Lattice="3.763 0.000 0.000 0.000 3.980 0.000 1.881 1.990 8.230" Properties=species:S:1:pos:R:3 pbc="T T T"
Cl 3.763 1.990 2.570
Na 3.763 1.990 5.472
Cl 1.881 3.980 5.660
Pd 0.000 1.990 0.000
Pd 1.881 0.000 0.000
Na 1.881 3.980 2.758
```

Output
- polymorph energy (0 for the lowest one) (kJ/mol of formula units) = 17
- SG = Immm
- ΔE_f (raw) (eV/f.u.) = -2.15